Record 1
Computed, not measured: a geometry-optimized Mn3Fe structure at the PBE level of DFT.

Calculated values
E_form: 0.047 eV/atom
Uncorrected energy: -8.946 eV/atom
Magnetization: 0.12 μB per formula unit
Space-group type: No. 187

Geometry as CIF:
```
data_Mn3Fe
_chemical_formula_sum 'Mn3 Fe1'
_cell_length_a 2.479
_cell_length_b 2.479
_cell_length_c 7.970
_cell_angle_alpha 90.00
_cell_angle_beta 90.00
_cell_angle_gamma 120.00
_space_group_name_H-M_alt 'P 1'
_space_group_IT_number 1
loop_
_space_group_symop_operation_xyz
'x,y,z'
loop_
_atom_site_label
_atom_site_type_symbol
_atom_site_fract_x
_atom_site_fract_y
_atom_site_fract_z
_atom_site_occupancy
Mn1 Mn 0.667 0.333 0.752 1
Fe1 Fe 0.000 0.000 0.000 1
Mn2 Mn 0.000 0.000 0.500 1
Mn3 Mn 0.667 0.333 0.248 1
```

Record 2
Computed, not measured: a geometry-optimized Mn3Fe structure at the PBE level of DFT.

Calculated values
E_form: 0.155 eV/atom
Uncorrected energy: -8.838 eV/atom
Magnetization: 5.14 μB per formula unit
Space-group type: No. 166

Geometry as CIF:
```
data_Mn3Fe
_chemical_formula_sum 'Mn3 Fe1'
_cell_length_a 2.422
_cell_length_b 4.668
_cell_length_c 4.668
_cell_angle_alpha 117.07
_cell_angle_beta 80.04
_cell_angle_gamma 80.04
_space_group_name_H-M_alt 'P 1'
_space_group_IT_number 1
loop_
_space_group_symop_operation_xyz
'x,y,z'
loop_
_atom_site_label
_atom_site_type_symbol
_atom_site_fract_x
_atom_site_fract_y
_atom_site_fract_z
_atom_site_occupancy
Mn1 Mn 0.000 0.500 0.500 1
Fe1 Fe 0.000 0.000 0.000 1
Mn2 Mn 0.500 0.000 0.500 1
Mn3 Mn 0.500 0.500 0.000 1
```